Computed, not measured: a relaxed structure of Y3InS6 at the PBEsol level of DFT.

## Properties
Final energy: -6.745 eV per atom
ΔE_f (raw): -1.770 eV/atom
Mass density: 4623 kg/m³

```
Y3InS6
1.0
13.290 0.000 0.000
0.000 16.322 0.000
0.000 0.000 3.801
Y In S
12 4 24
Cartesian
0.529 3.667 0.000
2.510 10.541 0.000
3.329 6.417 0.000
3.316 14.578 1.901
4.135 2.380 1.901
6.116 11.827 1.901
7.174 4.494 1.901
9.155 13.942 1.901
9.974 1.744 1.901
9.961 9.905 0.000
10.780 5.781 0.000
12.761 12.655 0.000
0.000 0.000 1.901
0.000 8.161 1.901
6.645 0.000 0.000
6.645 8.161 0.000
0.288 6.440 0.000
1.278 14.882 0.000
1.490 1.932 1.901
1.499 12.191 1.901
2.414 4.671 1.901
2.580 8.494 1.901
4.065 0.333 0.000
4.231 12.832 0.000
5.146 4.030 0.000
5.155 10.093 0.000
5.367 6.721 1.901
6.357 14.601 1.901
6.933 1.721 1.901
7.923 9.600 1.901
8.135 6.229 0.000
8.144 12.291 0.000
9.059 3.490 0.000
9.225 15.989 0.000
10.709 7.828 1.901
10.876 11.650 1.901
11.791 4.131 1.901
11.800 14.390 1.901
12.012 1.439 0.000
13.002 9.882 0.000
```